First-principles (GGA-PBEsol) data for a geometry-optimized SbTeIr2 structure, as listed in the Alexandria database.

a b c (Å): 4.072 4.072 6.408
angles (deg): 90.00 90.00 120.00
Fractional coordinates of all 4 atoms:
Sb 0.000 0.000 0.000
Te 0.000 0.000 0.538
Ir 0.333 0.667 0.177
Ir 0.667 0.333 0.351

## Properties
The final energy is -0.2497 hartree per atom. Its density of states at the Fermi level is 1.76 states/eV/f.u. For the formation energy (no corrections), the calculation gives 0.139 eV/atom. The calculation puts the energy relative to the lowest polymorph listed for this composition at 0.010 eV per atom. The volume is 92 Å³ per cell.